[1]
DFT (GGA-PBE) results for a relaxed SbRuW2 crystal.

VASP energy: -9.40 eV/atom
density of states at the Fermi level: 3.70 states/eV per cell
raw formation energy: 0.43 eV per atom

a b c (Å): 4.8938 4.8938 4.9082
angles (deg): 75.03 75.03 36.62
With the nearest neighbours (Å) after each atom.
Atoms (fractional coordinates):
W  0.0057  0.0057  0.0071  4 Ru 2.75-3.05, 3 Sb 2.76-2.81, 5 W 2.82-3.07
W  0.7531  0.7531  0.7126  3 Ru 2.65-2.74, 2 W 2.82, 4 Sb 2.84-2.96
Ru  0.4934  0.4934  0.5505  5 W 2.65-2.75, 2 Sb 2.90
Sb  0.2478  0.2478  0.2298  7 W 2.76-2.96, 2 Ru 2.90, 2 Sb 3.07



[2]
DFT (GGA-PBE) results for a relaxed Sb2RuW crystal.

VASP energy: -7.18 eV/atom
energy above the most stable polymorph in this dataset: 294.0 meV/atom
density of states at the Fermi level: 3.98 states/eV per cell
raw formation energy: 0.44 eV per atom

a b c (Å): 8.5666 8.5666 8.5666
angles (deg): 21.49 21.49 21.49
With the nearest neighbours (Å) after each atom.
Atoms (fractional coordinates):
W  0.2500  0.2500  0.2500  6 Sb 2.84
Ru  0.7500  0.7500  0.7500  6 Sb 2.74
Sb  0.4972  0.4972  0.4972  3 Ru 2.74, 3 W 2.84
Sb  0.0028  0.0028  0.0028  3 Ru 2.74, 3 W 2.84



[3]
DFT (GGA-PBE) results for a relaxed SbRuW2 crystal.

VASP energy: -9.31 eV/atom
density of states at the Fermi level: 3.02 states/eV per cell
raw formation energy: 0.51 eV per atom

a b c (Å): 9.2469 9.2469 9.2469
angles (deg): 18.30 18.30 18.30
With the nearest neighbours (Å) after each atom.
Atoms (fractional coordinates):
W  0.5055  0.5055  0.5055  3 Ru 2.72, 6 W 2.94, 3 Sb 2.96
W  0.9945  0.9945  0.9945  3 Ru 2.72, 6 W 2.94, 3 Sb 2.96
Ru  0.2500  0.2500  0.2500  6 W 2.72, 6 Ru 2.94
Sb  0.7500  0.7500  0.7500  6 Sb 2.94, 6 W 2.96



[4]
DFT (GGA-PBE) results for a relaxed Sb4RuW crystal.

VASP energy: -4.91 eV/atom
density of states at the Fermi level: 6.26 states/eV per cell
raw formation energy: 1.55 eV per atom

a b c (Å): 5.8889 5.8889 5.8889
angles (deg): 60.00 60.00 60.00
With the nearest neighbours (Å) after each atom.
Atoms (fractional coordinates):
Sb  0.3751  0.3751  0.8748  6 Sb 2.94-2.95
Sb  0.3751  0.3751  0.3751  6 Sb 2.94-2.95
Sb  0.8748  0.3751  0.3751  6 Sb 2.94-2.95
Sb  0.3751  0.8748  0.3751  6 Sb 2.94-2.95
Ru  0.0000  0.0000  0.0000  12 Sb 3.45, 4 W 3.61
W  0.7500  0.7500  0.7500  12 Sb 3.45, 4 Ru 3.61